*one*
Here is a relaxed structure of PrGdTm2 from the Alexandria database. Energies are from PBE-GGA.

Properties
N(E_F): 1.35 states/eV per atom
Total moment: 7.31 μB/cell
Space-group type: R-3m
Crystal system: trigonal

```
PrGdTm2
1.0
-2.848 0.488 -2.105
-0.984 -2.557 -2.296
-8.068 -5.356 6.640
Gd Pr Tm
1 1 2
Direct
0.500 0.500 0.500
0.000 0.000 0.000
0.751 0.751 0.748
0.249 0.249 0.252
```

*two*
Here is a relaxed structure of PrGdTm2 from the Alexandria database. Energies are from PBE-GGA.

Properties
N(E_F): 1.72 states/eV per atom
Total moment: 7.44 μB/cell
Space-group type: Fm-3m
Crystal system: cubic

```
PrGdTm2
1.0
-5.276 -0.301 -2.090
-0.823 -1.383 -5.451
-2.241 -5.047 -1.344
Gd Pr Tm
1 1 2
Direct
0.000 0.000 0.000
0.500 0.500 0.500
0.250 0.250 0.250
0.750 0.750 0.750
```

*three*
Here is a relaxed structure of PrGdTm2 from the Alexandria database. Energies are from PBE-GGA.

Properties
N(E_F): 1.77 states/eV per atom
Total moment: 7.39 μB/cell
Space-group type: P4/mmm
Crystal system: tetragonal

```
PrGdTm2
1.0
3.592 0.000 0.000
0.000 3.592 0.000
0.000 0.000 9.966
Gd Pr Tm
1 1 2
Direct
0.500 0.500 0.000
0.500 0.500 0.500
0.000 0.000 0.754
0.000 0.000 0.246
```

*four*
Here is a relaxed structure of PrGdTm2 from the Alexandria database. Energies are from PBE-GGA.

Properties
N(E_F): 1.57 states/eV per atom
Total moment: 7.32 μB/cell
Space-group type: P4/mmm
Crystal system: tetragonal

```
PrGdTm2
1.0
4.989 0.000 0.000
0.000 5.069 0.000
0.000 0.000 5.069
Gd Pr Tm
1 1 2
Direct
0.500 0.500 0.500
0.500 0.000 0.000
0.000 0.000 0.500
0.000 0.500 0.000
```

Stability summary - winner: *four*; margin: 6 meV per atom.